ZrTlHg2: relaxed, GGA-PBE.

Lattice parameters (Å, degrees): 3.3849 3.3849 8.4855 90.00 90.00 90.00
Space group P4/mmm (No. 123)
One atom of each set of equivalent atoms:
Zr (0.0000, 0.0000, 0.0000) x1
Tl (0.0000, 0.0000, 0.5000) x1
Hg (0.5000, 0.5000, 0.2266) x2

Output
DFT total energy: -2.886 eV per atom